# ZnIn2Ag | Alexandria via LeMat-Bulk | PBE | relaxed
# space-group type	No. 123
data_ZnIn2Ag
_chemical_formula_sum 'Zn1 In2 Ag1'
_symmetry_space_group_name_H-M 'P 1'
_symmetry_Int_Tables_number 1
_symmetry_space_group_name_Hall 'P 1'
_cell_length_a 3.4890
_cell_length_b 3.4890
_cell_length_c 7.1060
_cell_angle_alpha 90.00
_cell_angle_beta 90.00
_cell_angle_gamma 90.00
loop_
_atom_site_label
_atom_site_fract_x
_atom_site_fract_y
_atom_site_fract_z
Zn1 0.0000 0.0000 0.0000
In1 0.5000 0.5000 0.2448
In2 0.5000 0.5000 0.7552
Ag1 0.0000 0.0000 0.5000

# Cd2InPd2 | Alexandria via LeMat-Bulk | PBE | relaxed
# space-group type	No. 139
# distance to the lowest polymorph of the same formula	184.5	meV/atom
data_Cd2InPd2
_chemical_formula_sum 'Cd4 In2 Pd4'
_symmetry_space_group_name_H-M 'P 1'
_symmetry_Int_Tables_number 1
_symmetry_space_group_name_Hall 'P 1'
_cell_length_a 3.8849
_cell_length_b 3.8849
_cell_length_c 13.5408
_cell_angle_alpha 90.00
_cell_angle_beta 90.00
_cell_angle_gamma 90.00
loop_
_atom_site_label
_atom_site_fract_x
_atom_site_fract_y
_atom_site_fract_z
Cd1 0.0000 0.5000 0.2500
Cd2 0.0000 0.5000 0.7500
Cd3 0.5000 0.0000 0.2500
Cd4 0.5000 0.0000 0.7500
In1 0.0000 0.0000 0.0000
In2 0.5000 0.5000 0.5000
Pd1 0.0000 0.0000 0.4030
Pd2 0.0000 0.0000 0.5970
Pd3 0.5000 0.5000 0.0970
Pd4 0.5000 0.5000 0.9030

# La2SmTm2In5 | Alexandria via LeMat-Bulk | PBE | relaxed
# space-group type	No. 127
data_La2SmTm2In5
_chemical_formula_sum 'La4 Sm2 Tm4 In10'
_symmetry_space_group_name_H-M 'P 1'
_symmetry_Int_Tables_number 1
_symmetry_space_group_name_Hall 'P 1'
_cell_length_a 11.0373
_cell_length_b 11.0373
_cell_length_c 4.7049
_cell_angle_alpha 90.00
_cell_angle_beta 90.00
_cell_angle_gamma 90.00
loop_
_atom_site_label
_atom_site_fract_x
_atom_site_fract_y
_atom_site_fract_z
La1 0.1759 0.3241 0.0000
La2 0.3241 0.8241 0.0000
La3 0.6759 0.1759 0.0000
La4 0.8241 0.6759 0.0000
Sm1 0.0000 0.0000 0.0000
Sm2 0.5000 0.5000 0.0000
Tm1 0.1227 0.6227 0.0000
Tm2 0.3773 0.1227 0.0000
Tm3 0.6227 0.8773 0.0000
Tm4 0.8773 0.3773 0.0000
In1 0.0000 0.5000 0.5000
In2 0.0635 0.8023 0.5000
In3 0.1977 0.0635 0.5000
In4 0.3023 0.5635 0.5000
In5 0.4365 0.3023 0.5000
In6 0.5000 0.0000 0.5000
In7 0.5635 0.6977 0.5000
In8 0.6977 0.4365 0.5000
In9 0.8023 0.9365 0.5000
In10 0.9365 0.1977 0.5000

Theoretical density, record by record: 7.73; 8.98; 7.77 g/cm3
Spin magnetization, record by record: 0.0; 0.0; 0.0 Bohr magnetons per cell
Energy of formation, record by record: 86; -164; -370 meV/atom